An optimized crystal structure of Y3O. Source: the Alexandria database, functional GGA-PBE.

The structure in POSCAR format:
```
Y3O
1.0
4.6009 0.0000 0.0000
0.0000 4.6006 0.0000
0.0000 0.0000 5.6827
Y O
3 1
Direct
0.0000 0.5000 0.2915
0.5000 0.0000 0.2917
0.5000 0.5000 0.7916
0.0000 0.0000 0.2918
```

Values from the calculation:
D(E_F)	6.19	states/eV/cell
space-group type	P4/mmm (123)
energy relative to the elements, uncorrected	-0.87	eV/atom
crystal system	tetragonal

---

An optimized crystal structure of YO. Source: the Alexandria database, functional GGA-PBE.

The structure in POSCAR format:
```
YO
1.0
-3.0182 -0.1507 -1.2343
-0.8018 -2.2405 2.2343
-1.8663 4.7166 4.0599
Y O
2 2
Direct
0.7520 0.7500 0.2209
0.2480 0.2500 0.7791
0.7486 0.7500 0.8579
0.2514 0.2500 0.1421
```

Values from the calculation:
D(E_F)	1.72	states/eV/cell
space-group type	P2_1/m (11)
energy relative to the elements, uncorrected	-2.77	eV/atom
crystal system	monoclinic

---

An optimized crystal structure of YO. Source: the Alexandria database, functional GGA-PBE.

The structure in POSCAR format:
```
YO
1.0
3.8305 0.0000 0.0000
0.0000 5.3180 0.0000
0.0000 0.0000 11.0745
Y O
6 6
Direct
0.0000 0.7795 0.8312
0.5000 0.2205 0.6688
0.5000 0.2205 0.3312
0.0000 0.7795 0.1688
0.0000 0.7101 0.5000
0.5000 0.2899 0.0000
0.0000 0.0008 0.6482
0.5000 0.9992 0.8518
0.5000 0.9992 0.1482
0.0000 0.0008 0.3518
0.0000 0.5295 0.0000
0.5000 0.4705 0.5000
```

Values from the calculation:
D(E_F)	3.23	states/eV/cell
space-group type	Pmmn (59)
energy relative to the elements, uncorrected	-2.86	eV/atom
crystal system	orthorhombic